1.
{
  "formula": "La3Ga9Au2",
  "functional": "PBE-GGA",
  "state": "optimized geometry",
  "formation_enthalpy_0k_ev_per_atom": -0.595,
  "dos_at_fermi_per_ev_fu": 5.75,
  "m_tot_mub_per_cell": 0.00,
  "dft_energy_ev_per_atom": -4.0645,
  "cell": [[-2.212, 5.107, 6.491], [2.212, -5.107, 6.491], [2.212, 5.107, -6.491]],
  "species": ["La", "La", "La", "Ga", "Ga", "Ga", "Ga", "Ga", "Ga", "Ga", "Ga", "Ga", "Au", "Au"],
  "fractional_positions": [[0.000, 0.000, 0.000], [0.321, 0.321, 0.000], [0.679, 0.679, 0.000], [0.042, 0.669, 0.373], [0.132, 0.862, 0.270], [0.296, 0.669, 0.627], [0.408, 0.138, 0.270], [0.500, 0.000, 0.500], [0.592, 0.862, 0.730], [0.704, 0.331, 0.373], [0.868, 0.138, 0.730], [0.958, 0.331, 0.627], [0.275, 0.500, 0.775], [0.725, 0.500, 0.225]]
}

=====

2.
{
  "formula": "LaGaAu2",
  "functional": "PBE-GGA",
  "state": "optimized geometry",
  "formation_enthalpy_0k_ev_per_atom": -0.543,
  "dos_at_fermi_per_ev_fu": 2.58,
  "m_tot_mub_per_cell": 0.00,
  "dft_energy_ev_per_atom": -4.1701,
  "cell": [[3.852, 0.000, 0.000], [0.000, 3.567, 3.594], [0.000, -3.567, 3.594]],
  "species": ["La", "Ga", "Au", "Au"],
  "fractional_positions": [[0.000, 0.000, 0.000], [0.500, 0.598, 0.598], [0.500, 0.097, 0.500], [0.500, 0.500, 0.097]]
}

=====

3.
{
  "formula": "LaGa3Au",
  "functional": "PBE-GGA",
  "state": "optimized geometry",
  "formation_enthalpy_0k_ev_per_atom": 0.953,
  "dos_at_fermi_per_ev_fu": 7.06,
  "m_tot_mub_per_cell": 0.00,
  "dft_energy_ev_per_atom": -2.5045,
  "cell": [[5.764, 0.000, 0.000], [0.000, 5.764, 0.000], [0.000, 0.000, 5.764]],
  "species": ["La", "Ga", "Ga", "Ga", "Au"],
  "fractional_positions": [[0.000, 0.000, 0.000], [0.000, 0.000, 0.500], [0.000, 0.500, 0.000], [0.500, 0.000, 0.000], [0.500, 0.500, 0.500]]
}

=====

4.
{
  "formula": "La2GaAu",
  "functional": "PBE-GGA",
  "state": "optimized geometry",
  "formation_enthalpy_0k_ev_per_atom": -0.497,
  "dos_at_fermi_per_ev_fu": 5.02,
  "m_tot_mub_per_cell": 0.00,
  "dft_energy_ev_per_atom": -4.5371,
  "cell": [[2.022, 1.168, 8.496], [-2.022, 1.168, 8.496], [0.000, -2.335, 8.496]],
  "species": ["La", "La", "Ga", "Au"],
  "fractional_positions": [[0.249, 0.249, 0.249], [0.751, 0.751, 0.751], [0.000, 0.000, 0.000], [0.500, 0.500, 0.500]]
}

=====

5.
{
  "formula": "La6GaAu5",
  "functional": "PBE-GGA",
  "state": "optimized geometry",
  "formation_enthalpy_0k_ev_per_atom": -0.741,
  "dos_at_fermi_per_ev_fu": 10.24,
  "m_tot_mub_per_cell": 0.00,
  "dft_energy_ev_per_atom": -4.8227,
  "cell": [[-2.661, 3.807, 8.034], [2.661, -3.807, 8.034], [2.661, 3.807, -8.034]],
  "species": ["La", "La", "La", "La", "La", "La", "Ga", "Au", "Au", "Au", "Au", "Au"],
  "fractional_positions": [[0.081, 0.332, 0.749], [0.244, 0.000, 0.244], [0.418, 0.668, 0.749], [0.582, 0.332, 0.251], [0.756, 0.000, 0.756], [0.919, 0.668, 0.251], [0.500, 0.500, 0.000], [0.000, 0.500, 0.500], [0.168, 0.168, 0.000], [0.344, 0.844, 0.500], [0.656, 0.156, 0.500], [0.832, 0.832, 0.000]]
}

=====

6.
{
  "formula": "La5GaAu4",
  "functional": "PBE-GGA",
  "state": "optimized geometry",
  "formation_enthalpy_0k_ev_per_atom": -0.740,
  "dos_at_fermi_per_ev_fu": 7.67,
  "m_tot_mub_per_cell": 0.00,
  "dft_energy_ev_per_atom": -4.8174,
  "cell": [[3.776, 0.000, 0.000], [0.000, 3.776, 0.000], [0.000, 0.000, 18.952]],
  "species": ["La", "La", "La", "La", "La", "Ga", "Au", "Au", "Au", "Au"],
  "fractional_positions": [[0.000, 0.000, 0.000], [0.000, 0.000, 0.200], [0.000, 0.000, 0.401], [0.000, 0.000, 0.599], [0.000, 0.000, 0.800], [0.500, 0.500, 0.500], [0.500, 0.500, 0.100], [0.500, 0.500, 0.301], [0.500, 0.500, 0.699], [0.500, 0.500, 0.900]]
}

=====

7.
{
  "formula": "LaGa2Au",
  "functional": "PBE-GGA",
  "state": "optimized geometry",
  "formation_enthalpy_0k_ev_per_atom": -0.647,
  "dos_at_fermi_per_ev_fu": 2.16,
  "m_tot_mub_per_cell": 0.00,
  "dft_energy_ev_per_atom": -4.2119,
  "cell": [[2.206, 1.273, 5.346], [-2.206, 1.273, 5.346], [0.000, -2.547, 5.346]],
  "species": ["La", "Ga", "Ga", "Au"],
  "fractional_positions": [[0.000, 0.000, 0.000], [0.217, 0.217, 0.217], [0.783, 0.783, 0.783], [0.500, 0.500, 0.500]]
}

=====

8.
{
  "formula": "LaGa2Au3",
  "functional": "PBE-GGA",
  "state": "optimized geometry",
  "formation_enthalpy_0k_ev_per_atom": -0.593,
  "dos_at_fermi_per_ev_fu": 2.74,
  "m_tot_mub_per_cell": 0.00,
  "dft_energy_ev_per_atom": -4.0622,
  "cell": [[8.613, -2.176, 0.000], [8.613, 2.176, 0.000], [-3.198, 0.000, 10.045]],
  "species": ["La", "La", "La", "Ga", "Ga", "Ga", "Ga", "Ga", "Ga", "Au", "Au", "Au", "Au", "Au", "Au", "Au", "Au", "Au"],
  "fractional_positions": [[0.000, 0.000, 0.000], [0.153, 0.153, 0.695], [0.847, 0.847, 0.305], [0.204, 0.204, 0.116], [0.359, 0.359, 0.550], [0.474, 0.474, 0.232], [0.526, 0.526, 0.768], [0.641, 0.641, 0.450], [0.796, 0.796, 0.884], [0.046, 0.046, 0.341], [0.220, 0.220, 0.374], [0.336, 0.336, 0.051], [0.379, 0.379, 0.814], [0.500, 0.500, 0.500], [0.621, 0.621, 0.186], [0.664, 0.664, 0.949], [0.780, 0.780, 0.626], [0.954, 0.954, 0.659]]
}

=====

9.
{
  "formula": "LaGa4Au3",
  "functional": "PBE-GGA",
  "state": "optimized geometry",
  "formation_enthalpy_0k_ev_per_atom": -0.507,
  "dos_at_fermi_per_ev_fu": 2.93,
  "m_tot_mub_per_cell": 0.00,
  "dft_energy_ev_per_atom": -3.8653,
  "cell": [[4.364, 0.000, 0.000], [0.000, 4.364, 0.000], [0.000, 0.000, 8.801]],
  "species": ["La", "Ga", "Ga", "Ga", "Ga", "Au", "Au", "Au"],
  "fractional_positions": [[0.000, 0.000, 0.000], [0.000, 0.500, 0.325], [0.000, 0.500, 0.675], [0.500, 0.000, 0.325], [0.500, 0.000, 0.675], [0.000, 0.000, 0.500], [0.500, 0.500, 0.155], [0.500, 0.500, 0.845]]
}

=====

10.
{
  "formula": "LaGa3Au",
  "functional": "PBE-GGA",
  "state": "optimized geometry",
  "formation_enthalpy_0k_ev_per_atom": -0.657,
  "dos_at_fermi_per_ev_fu": 1.71,
  "m_tot_mub_per_cell": 0.00,
  "dft_energy_ev_per_atom": -4.1143,
  "cell": [[-2.208, 2.208, 5.402], [2.208, -2.208, 5.402], [2.208, 2.208, -5.402]],
  "species": ["La", "Ga", "Ga", "Ga", "Au"],
  "fractional_positions": [[0.000, 0.000, 0.000], [0.263, 0.763, 0.500], [0.404, 0.404, 0.000], [0.763, 0.263, 0.500], [0.637, 0.637, 0.000]]
}

=====

11.
{
  "formula": "LaGa2Au5",
  "functional": "PBE-GGA",
  "state": "optimized geometry",
  "formation_enthalpy_0k_ev_per_atom": -0.453,
  "dos_at_fermi_per_ev_fu": 2.92,
  "m_tot_mub_per_cell": 0.00,
  "dft_energy_ev_per_atom": -3.8740,
  "cell": [[-2.111, 3.659, 5.347], [2.111, -3.659, 5.347], [2.111, 3.659, -5.347]],
  "species": ["La", "Ga", "Ga", "Au", "Au", "Au", "Au", "Au"],
  "fractional_positions": [[0.000, 0.000, 0.000], [0.254, 0.754, 0.500], [0.746, 0.246, 0.500], [0.162, 0.364, 0.798], [0.434, 0.636, 0.798], [0.500, 0.000, 0.500], [0.566, 0.364, 0.202], [0.838, 0.636, 0.202]]
}

=====

12.
{
  "formula": "La2Ga3Au2",
  "functional": "PBE-GGA",
  "state": "optimized geometry",
  "formation_enthalpy_0k_ev_per_atom": -0.676,
  "dos_at_fermi_per_ev_fu": 5.73,
  "m_tot_mub_per_cell": 0.00,
  "dft_energy_ev_per_atom": -4.3171,
  "cell": [[5.366, -2.316, 0.000], [5.366, 2.316, 0.000], [-2.276, 0.000, 6.356]],
  "species": ["La", "La", "Ga", "Ga", "Ga", "Au", "Au"],
  "fractional_positions": [[0.151, 0.151, 0.276], [0.849, 0.849, 0.724], [0.406, 0.406, 0.080], [0.500, 0.500, 0.500], [0.594, 0.594, 0.920], [0.154, 0.154, 0.762], [0.846, 0.846, 0.238]]
}